Below is a relaxed structure of Al2InGa2, with properties calculated at the PBE level.

```
Al2InGa2
1.0
8.0752 0.0000 0.0000
0.0000 8.0752 0.0000
0.0000 0.0000 3.0190
Al In Ga
4 2 4
Direct
0.1284 0.3716 0.0000 Al
0.3716 0.8716 0.0000 Al
0.6284 0.1284 0.0000 Al
0.8716 0.6284 0.0000 Al
0.0000 0.0000 0.0000 In
0.5000 0.5000 0.0000 In
0.1667 0.6667 0.5000 Ga
0.3333 0.1667 0.5000 Ga
0.6667 0.8333 0.5000 Ga
0.8333 0.3333 0.5000 Ga
```

E_form ... 0.06 eV per atom
Energy ... -3.192 eV/atom

Below is a relaxed structure of LiCuHgO3, with properties calculated at the PBE level.

```
LiCuHgO3
1.0
2.4905 -5.7725 0.0000
2.4905 5.7725 0.0000
0.0000 0.0000 5.2109
Li Cu Hg O
2 2 2 6
Direct
0.0786 0.9214 0.7500 Li
0.9214 0.0786 0.2500 Li
0.4858 0.5142 0.7500 Cu
0.5142 0.4858 0.2500 Cu
0.2355 0.7645 0.2500 Hg
0.7645 0.2355 0.7500 Hg
0.2488 0.2488 0.0000 O
0.2488 0.2488 0.5000 O
0.2490 0.7510 0.7500 O
0.7510 0.2490 0.2500 O
0.7512 0.7512 0.0000 O
0.7512 0.7512 0.5000 O
```

Uncorrected formation energy ... -0.6319 eV/atom
Energy ... -4.163 eV/atom